Ac4AgOsI2: relaxed, PBE.

abc: 7.8485 4.4830 9.0348
angles: 90.00 106.62 90.00
Closest atoms and distances in Å follow each position.
Fractional coordinates of all 8 atoms:
Ac  0.2106  0.0000  0.1864  2 Os 3.00, 1 Ag 3.19
Ac  0.2425  0.5000  0.8081  1 Os 2.92, 2 Ag 3.18
Ac  0.7575  0.5000  0.1919  1 Os 2.92, 2 Ag 3.18
Ac  0.7894  0.0000  0.8136  2 Os 3.00, 1 Ag 3.19
Ag  0.5000  0.0000  0.0000  6 Ac 3.18-3.19
Os  0.0000  0.5000  0.0000  6 Ac 2.92-3.00
I  0.0000  0.0000  0.5000  6 Ac 3.66-3.67
I  0.5000  0.5000  0.5000  6 Ac 3.81-3.88

## Properties
N(E_F): 3.96 states/eV/f.u.
Energy relative to the elements, uncorrected: -0.66 eV per atom
Crystal system: monoclinic
Size of the total moment: 0.00 μB per cell